Entry 1:
PBE LaAu4Se, relaxed; size of the total moment = 0.00 μB per atom; calculated total energy = -24.7 eV/cell; SG = F-43m, No. 216; crystal system = cubic
1.0
-4.923 1.762 2.209
-3.096 3.904 -2.720
-4.902 -1.471 -2.456
Au La Se
4 1 1
Direct
0.375 0.375 0.876
0.375 0.375 0.375
0.375 0.876 0.375
0.876 0.375 0.375
0.750 0.750 0.750
0.000 0.000 0.000

=====

Entry 2:
PBE LaAuSe2, relaxed; size of the total moment = 0.00 μB per atom; calculated total energy = -19.4 eV/cell; relative energy among the computed polymorphs = 242 meV/atom; SG = Immm, No. 71; crystal system = orthorhombic
1.0
-1.018 -3.569 3.640
4.229 1.352 2.705
-4.085 2.952 -1.274
Au Se La
1 2 1
Direct
0.750 0.250 0.500
0.527 0.527 0.000
0.973 0.973 0.000
0.250 0.750 0.500

=====

Quick rundown of formation energy from raw total energies, same order as above: -3.2 -4.2 eV per formula unit